# YMn2Tl PBE optimized geometry
# - Calculated formation energy: 380 meV per atom
# - Calculated volume: 21.16 A^3/atom
# - N(E_F): 1.1046 states/eV/atom
# - Energy: -6.41 eV per atom
# - Polymorph energy (0 for the lowest one): 149 meV/atom
data_YMn2Tl
_cell_length_a 9.928
_cell_length_b 3.293
_cell_length_c 5.326
_cell_angle_alpha 90.00
_cell_angle_beta 103.59
_cell_angle_gamma 90.00
_space_group_name_H-M_alt 'C 1 2/m 1'
_space_group_IT_number 12
loop_
_space_group_symop_operation_xyz
'x,y,z'
'-x,-y,-z'
'-x,y,-z'
'x,-y,z'
'x+1/2,y+1/2,z'
'-x+1/2,-y+1/2,-z'
'-x+1/2,y+1/2,-z'
'x+1/2,-y+1/2,z'
loop_
_atom_site_label
_atom_site_fract_x
_atom_site_fract_y
_atom_site_fract_z
Y1 0.000 0.000 0.000
Mn1 0.244 0.000 0.754
Tl1 0.000 0.500 0.500